A plane-wave DFT calculation with PBE was carried out for an optimized crystal structure of HfCr2Hg.

Computed properties:
energy of formation from the pure elements	840	meV/atom
calculated total energy	-26.1	eV per formula unit
DOS(E_F)	7.8	states/eV per cell

Lattice parameters (Å, degrees): 7.3172 7.3172 5.9406 51.98 51.98 90.00
Site moments in Bohr magnetons follow the coordinates.
Positions (direct):
Cr  0.6303  0.1250  0.2500  3.11
Cr  0.8750  0.8803  0.7500  3.11
Hf  0.2500  0.7500  0.5000  -0.27
Cr  0.3750  0.3697  0.7500  3.11
Cr  0.1197  0.6250  0.2500  3.11
Hg  0.7500  0.2500  0.5000  -0.04
Hg  0.0000  0.0000  0.0000  -0.04
Hf  0.5000  0.5000  0.0000  -0.27


A plane-wave DFT calculation with PBE was carried out for an optimized crystal structure of BaBe2Hg.

Computed properties:
energy of formation from the pure elements	805	meV/atom
calculated total energy	-6.5	eV per formula unit
DOS(E_F)	3.8	states/eV per cell

Lattice parameters (Å, degrees): 4.9448 4.9448 3.9952 90.00 90.00 90.00
Positions (direct):
Be  0.0000  0.0000  0.0000
Be  0.5000  0.5000  0.0000
Hg  0.5000  0.0000  0.5000
Ba  0.0000  0.5000  0.5000


A plane-wave DFT calculation with PBE was carried out for an optimized crystal structure of Zn2P2Ir.

Computed properties:
energy of formation from the pure elements	-30	meV/atom
calculated total energy	-22.4	eV per formula unit
DOS(E_F)	6.2	states/eV per cell

Lattice parameters (Å, degrees): 5.8885 5.8885 4.6657 90.00 90.00 90.00
Positions (direct):
P  0.3684  0.8684  0.0000
P  0.6316  0.1316  0.0000
Ir  0.0000  0.0000  0.0000
Zn  0.8279  0.3279  0.5000
Ir  0.5000  0.5000  0.0000
Zn  0.1721  0.6721  0.5000
P  0.8684  0.6316  0.0000
Zn  0.3279  0.1721  0.5000
P  0.1316  0.3684  0.0000
Zn  0.6721  0.8279  0.5000


A plane-wave DFT calculation with PBE was carried out for an optimized crystal structure of YPuGaTc.

Computed properties:
energy of formation from the pure elements	-90	meV/atom
calculated total energy	-34.5	eV per formula unit
DOS(E_F)	9.1	states/eV per cell

Lattice parameters (Å, degrees): 4.9349 4.9349 4.9349 60.00 60.00 60.00
Site moments in Bohr magnetons follow the coordinates.
Positions (direct):
Ga  0.5000  0.5000  0.5000  0.01
Pu  0.2500  0.2500  0.2500  5.06
Tc  0.0000  0.0000  0.0000  -0.56
Y  0.7500  0.7500  0.7500  0.04


A plane-wave DFT calculation with PBE was carried out for an optimized crystal structure of PaCoAs.

Computed properties:
energy of formation from the pure elements	-297	meV/atom
calculated total energy	-22.1	eV per formula unit
DOS(E_F)	7.7	states/eV per cell

Lattice parameters (Å, degrees): 4.7833 3.5202 6.7925 74.98 90.00 90.00
Positions (direct):
Pa  0.7500  0.8306  0.3387
Co  0.5000  0.0000  0.0000
As  0.2500  0.3983  0.2035
Pa  0.2500  0.1694  0.6613
Co  0.0000  0.0000  0.0000
As  0.7500  0.6017  0.7965


A plane-wave DFT calculation with PBE was carried out for an optimized crystal structure of Tb6As2P3S.

Computed properties:
calculated total energy	-77.8	eV per formula unit
DOS(E_F)	1.8	states/eV per cell
uncorrected formation energy	-1.69	eV per atom

Lattice parameters (Å, degrees): 4.0510 8.1108 9.0555 102.99 102.93 90.00
Positions (direct):
Tb  0.6677  0.0787  0.3354
As  0.8343  0.6689  0.6687
As  0.1657  0.3311  0.3313
P  0.8340  0.1658  0.6681
S  0.5000  0.0000  0.0000
Tb  0.6651  0.5870  0.3301
Tb  0.0019  0.7454  0.0037
P  0.1660  0.8342  0.3319
P  0.5000  0.5000  0.0000
Tb  0.3349  0.4130  0.6699
Tb  0.9981  0.2546  0.9963
Tb  0.3323  0.9213  0.6646


Q: The highest DOS(E_F) belongs to which entry?
A: YPuGaTc


Q: Look up the calculated total energy of the third one.
A: -22.4 eV per formula unit


Q: calculated total energy of number 3 (Zn2P2Ir)?
A: -22.4 eV per formula unit


Q: Which formula does entry 3 have?
A: Zn2P2Ir